Entry 1:
# Mn3Os5, optimized geometry, DFT PBE-GGA
data_Mn3Os5
_chemical_formula_sum 'Mn12 Os20'
_space_group_name_H-M_alt 'C m c m'
_space_group_IT_number 63
_space_group_name_Hall '-C 2c 2'
_cell_length_a 11.903
_cell_length_b 7.614
_cell_length_c 4.850
_cell_angle_alpha 90.00
_cell_angle_beta 90.00
_cell_angle_gamma 90.00
loop_
_atom_site_label
_atom_site_type_symbol
_atom_site_fract_x
_atom_site_fract_y
_atom_site_fract_z
_atom_site_occupancy
Mn1 Mn 0.000 0.101 0.250 1
Mn2 Mn 0.210 0.288 0.750 1
Os1 Os 0.000 0.269 0.750 1
Os2 Os 0.111 0.407 0.250 1
Os3 Os 0.175 0.000 0.000 1
# Energy of formation from the pure elements = 3.05 eV/f.u.
# Total energy = -322.42 eV for the cell shown



Entry 2:
# BaSr3Cd, optimized geometry, DFT PBE-GGA
data_BaSr3Cd
_chemical_formula_sum 'Ba4 Sr12 Cd4'
_space_group_name_H-M_alt 'C 1 2/m 1'
_space_group_IT_number 12
_space_group_name_Hall '-C 2y'
_cell_length_a 13.903
_cell_length_b 10.009
_cell_length_c 9.354
_cell_angle_alpha 90.00
_cell_angle_beta 126.99
_cell_angle_gamma 90.00
loop_
_atom_site_label
_atom_site_type_symbol
_atom_site_fract_x
_atom_site_fract_y
_atom_site_fract_z
_atom_site_occupancy
Ba1 Ba 0.033 0.000 0.277 1
Sr1 Sr 0.080 0.500 0.264 1
Sr2 Sr 0.198 0.294 0.738 1
Cd1 Cd 0.220 0.500 0.054 1
# Energy relative to the lowest polymorph listed for this composition = 49.3 meV/atom
# Energy of formation from the pure elements = -0.34 eV/f.u.
# Total energy = -32.88 eV for the cell shown



Entry 3:
# AcScCdIn, optimized geometry, DFT PBE-GGA
data_AcScCdIn
_chemical_formula_sum 'Ac4 Sc4 Cd4 In4'
_space_group_name_H-M_alt 'F -4 3 m'
_space_group_IT_number 216
_space_group_name_Hall 'F -4 2 3'
_cell_length_a 7.721
_cell_length_b 7.721
_cell_length_c 7.721
_cell_angle_alpha 90.00
_cell_angle_beta 90.00
_cell_angle_gamma 90.00
loop_
_atom_site_label
_atom_site_type_symbol
_atom_site_fract_x
_atom_site_fract_y
_atom_site_fract_z
_atom_site_occupancy
Ac1 Ac 0.000 0.000 0.000 1
Sc1 Sc 0.000 0.000 0.500 1
Cd1 Cd 0.250 0.250 0.250 1
In1 In 0.250 0.250 0.750 1
# Energy of formation from the pure elements = -1.10 eV/f.u.
# Total energy = -60.79 eV for the cell shown



Entry 4:
# K2ZnAs, optimized geometry, DFT PBE-GGA
data_K2ZnAs
_chemical_formula_sum 'K4 Zn2 As2'
_space_group_name_H-M_alt 'A m m 2'
_space_group_IT_number 38
_space_group_name_Hall 'A 2 -2'
_cell_length_a 4.328
_cell_length_b 5.275
_cell_length_c 11.984
_cell_angle_alpha 90.00
_cell_angle_beta 90.00
_cell_angle_gamma 90.00
loop_
_atom_site_label
_atom_site_type_symbol
_atom_site_fract_x
_atom_site_fract_y
_atom_site_fract_z
_atom_site_occupancy
K1 K 0.000 0.000 0.000 1
K2 K 0.500 0.000 0.292 1
Zn1 Zn 0.000 0.000 0.686 1
As1 As 0.500 0.000 0.588 1
# Energy relative to the lowest polymorph listed for this composition = 0.0 meV/atom
# Energy of formation from the pure elements = -1.04 eV/f.u.
# Total energy = -18.32 eV for the cell shown



Q: Which value of energy of formation from the pure elements does entry 1 give?
A: 3.05 eV/f.u.



What did the fourth record say?
# K2ZnAs, optimized geometry, DFT PBE-GGA
data_K2ZnAs
_chemical_formula_sum 'K4 Zn2 As2'
_space_group_name_H-M_alt 'A m m 2'
_space_group_IT_number 38
_space_group_name_Hall 'A 2 -2'
_cell_length_a 4.328
_cell_length_b 5.275
_cell_length_c 11.984
_cell_angle_alpha 90.00
_cell_angle_beta 90.00
_cell_angle_gamma 90.00
loop_
_atom_site_label
_atom_site_type_symbol
_atom_site_fract_x
_atom_site_fract_y
_atom_site_fract_z
_atom_site_occupancy
K1 K 0.000 0.000 0.000 1
K2 K 0.500 0.000 0.292 1
Zn1 Zn 0.000 0.000 0.686 1
As1 As 0.500 0.000 0.588 1
# Energy relative to the lowest polymorph listed for this composition = 0.0 meV/atom
# Energy of formation from the pure elements = -1.04 eV/f.u.
# Total energy = -18.32 eV for the cell shown



Repeat the first record exactly.
# Mn3Os5, optimized geometry, DFT PBE-GGA
data_Mn3Os5
_chemical_formula_sum 'Mn12 Os20'
_space_group_name_H-M_alt 'C m c m'
_space_group_IT_number 63
_space_group_name_Hall '-C 2c 2'
_cell_length_a 11.903
_cell_length_b 7.614
_cell_length_c 4.850
_cell_angle_alpha 90.00
_cell_angle_beta 90.00
_cell_angle_gamma 90.00
loop_
_atom_site_label
_atom_site_type_symbol
_atom_site_fract_x
_atom_site_fract_y
_atom_site_fract_z
_atom_site_occupancy
Mn1 Mn 0.000 0.101 0.250 1
Mn2 Mn 0.210 0.288 0.750 1
Os1 Os 0.000 0.269 0.750 1
Os2 Os 0.111 0.407 0.250 1
Os3 Os 0.175 0.000 0.000 1
# Energy of formation from the pure elements = 3.05 eV/f.u.
# Total energy = -322.42 eV for the cell shown



Q: Among the records above, which one has the lowest energy of formation from the pure elements?
A: AcScCdIn